No. 1
Density functional theory data (meta-GGA SCAN) for a PBEsol-optimized structure of SrSi2Os.

a b c (Å): 4.0856 4.0856 5.9296
angles (deg): 69.85 69.85 60.00
Closest atoms and distances in Å follow each position.
Sites, in units of the cell vectors:
Sr 0.5000 0.5000 0.5000  8 Si 3.16-3.33
Si 0.7041 0.7041 0.8877  3 Os 2.44, 3 Si 2.66
Si 0.2959 0.2959 0.1123  3 Os 2.44, 3 Si 2.66
Os 0.0000 0.0000 0.0000  6 Si 2.44

Symmetry ... No. 166
E_form (uncorrected) ... -0.458 eV/atom



No. 2
Density functional theory data (meta-GGA SCAN) for a PBEsol-optimized structure of Cd3Au.

a b c (Å): 4.8612 7.9446 8.5116
angles (deg): 90.00 90.00 90.00
Closest atoms and distances in Å follow each position.
Sites, in units of the cell vectors:
Au 0.5513 0.1489 0.7500  9 Cd 2.72-2.95
Au 0.0513 0.3511 0.2500  9 Cd 2.72-2.95
Au 0.9487 0.6489 0.7500  9 Cd 2.72-2.95
Au 0.4487 0.8511 0.2500  9 Cd 2.72-2.95
Cd 0.9439 0.0110 0.2500  3 Au 2.72-2.76
Cd 0.4592 0.1709 0.0730  3 Au 2.79-2.95, 5 Cd 3.01-3.07
Cd 0.4592 0.1709 0.4270  3 Au 2.79-2.95, 5 Cd 3.01-3.07
Cd 0.9592 0.3291 0.5730  3 Au 2.79-2.95, 5 Cd 3.01-3.07
Cd 0.9592 0.3291 0.9270  3 Au 2.79-2.95, 5 Cd 3.01-3.07
Cd 0.4439 0.4890 0.7500  3 Au 2.72-2.76
Cd 0.5561 0.5110 0.2500  3 Au 2.72-2.76
Cd 0.0408 0.6709 0.0730  3 Au 2.79-2.95, 5 Cd 3.01-3.07
Cd 0.0408 0.6709 0.4270  3 Au 2.79-2.95, 5 Cd 3.01-3.07
Cd 0.5408 0.8291 0.5730  3 Au 2.79-2.95, 5 Cd 3.01-3.07
Cd 0.5408 0.8291 0.9270  3 Au 2.79-2.95, 5 Cd 3.01-3.07
Cd 0.0561 0.9890 0.7500  3 Au 2.72-2.76

Symmetry ... No. 62
Formation energy from the elements ... -0.195 eV per atom



No. 3
Density functional theory data (meta-GGA SCAN) for a PBEsol-optimized structure of BaY2Au.

a b c (Å): 3.9484 5.2468 5.2468
angles (deg): 90.31 90.00 90.00
Closest atoms and distances in Å follow each position.
Sites, in units of the cell vectors:
Au 0.5000 0.0000 0.0000  8 Y 3.28
Ba 0.5000 0.5000 0.5000  8 Y 3.28
Y 0.0000 0.5000 0.0000  4 Ba 3.28, 4 Au 3.28
Y 0.0000 0.0000 0.5000  4 Au 3.28, 4 Ba 3.28

Symmetry ... No. 65
Excess energy over the best structure of this formula in the dataset ... 364.1 meV/atom
Formation energy from the elements ... -0.053 eV per atom



No. 4
Density functional theory data (meta-GGA SCAN) for a PBEsol-optimized structure of BeFe2As.

a b c (Å): 2.6273 2.6273 7.2732
angles (deg): 90.00 90.00 90.00
Closest atoms and distances in Å follow each position.
Sites, in units of the cell vectors:
Be 0.5000 0.5000 0.8417  4 Fe 2.22
As 0.0000 0.0000 0.4342  4 Fe 2.45, 4 As 2.63
Fe 0.0000 0.0000 0.0088  4 Be 2.22, 4 Fe 2.39
Fe 0.5000 0.5000 0.2153  8 Fe 2.39-2.63, 4 As 2.45

Symmetry ... No. 99
Excess energy over the best structure of this formula in the dataset ... 300.2 meV/atom
Formation energy from the elements ... 0.217 eV per atom



No. 5
Density functional theory data (meta-GGA SCAN) for a PBEsol-optimized structure of Ca2InSi.

a b c (Å): 3.6074 3.6074 9.7487
angles (deg): 79.34 79.34 60.00
Closest atoms and distances in Å follow each position.
Sites, in units of the cell vectors:
Ca 0.2585 0.2585 0.2246  3 Si 2.99
Ca 0.7415 0.7415 0.7754  3 Si 2.99
In 0.5000 0.5000 0.5000  6 Ca 3.35, 6 In 3.61
Si 0.0000 0.0000 0.0000  6 Ca 2.99

Symmetry ... No. 166
E_form (uncorrected) ... -0.186 eV/atom



No. 6
Density functional theory data (meta-GGA SCAN) for a PBEsol-optimized structure of Al3ReCl.

a b c (Å): 4.8052 4.8052 4.8052
angles (deg): 90.00 90.00 90.00
Closest atoms and distances in Å follow each position.
Sites, in units of the cell vectors:
Re 0.0000 0.0000 0.0000  6 Al 2.40
Al 0.0000 0.5000 0.0000  2 Re 2.40
Al 0.0000 0.0000 0.5000  2 Re 2.40
Al 0.5000 0.0000 0.0000  2 Re 2.40
Cl 0.5000 0.5000 0.5000  12 Al 3.40

Symmetry ... No. 221
E_form (uncorrected) ... 0.307 eV/atom



> Which formula does entry 2 have?

Cd3Au